Entry from Alexandria: an optimized crystal structure of SrSi3 (PBE). Values from VASP.

Cell and atoms, written as Quantum ESPRESSO input:
```
&SYSTEM
  ibrav = 0, nat = 4, ntyp = 2
/
ATOMIC_SPECIES
Sr 87.62 Sr.upf
Si 28.09 Si.upf
ATOMIC_POSITIONS angstrom
Sr 0.0000 0.0000 0.0000
Si 3.0302 1.1507 0.7284
Si 7.4601 2.8330 1.7932
Si 11.8900 4.5152 2.8581
CELL_PARAMETERS angstrom
5.9732 0.0089 0.0056
4.4735 3.9583 0.0056
4.4735 1.6988 3.5752
```

ρ: 3.39 g/cm³
V: 84.28 Å³/cell
formation energy without anion corrections: -0.12 eV per atom
uncorrected energy: -0.3387 Ry/atom
Fermi-level density of states: 1.0 states/eV/f.u.